No. 1
A plane-wave DFT calculation with PBE-GGA was carried out for crystalline InAgPt3 at its relaxed geometry.

Lattice parameters (Å, degrees): 4.948 4.948 4.948 90.00 90.00 90.00
Fractional positions:
In (0.000, 0.000, 0.000)
Ag (0.500, 0.500, 0.500)
Pt (0.000, 0.000, 0.500)
Pt (0.000, 0.500, 0.000)
Pt (0.500, 0.000, 0.000)

Summary:
Symmetry = No. 221
Energy of formation = 1.035 eV per atom

***

No. 2
A plane-wave DFT calculation with PBE-GGA was carried out for crystalline InAgPt2 at its relaxed geometry.

Lattice parameters (Å, degrees): 5.866 7.824 2.999 90.00 90.00 90.00
Fractional positions:
In (0.000, 0.000, 0.000)
In (0.500, 0.500, 0.000)
Ag (0.000, 0.500, 0.000)
Ag (0.500, 0.000, 0.000)
Pt (0.250, 0.250, 0.500)
Pt (0.250, 0.750, 0.500)
Pt (0.750, 0.250, 0.500)
Pt (0.750, 0.750, 0.500)

Summary:
Symmetry = No. 65
Energy of formation = -0.259 eV per atom

***

No. 3
A plane-wave DFT calculation with PBE-GGA was carried out for crystalline In2AgPt9 at its relaxed geometry.

Lattice parameters (Å, degrees): 4.046 4.046 12.023 90.00 90.00 90.00
Fractional positions:
In (0.000, 0.000, 0.169)
In (0.000, 0.000, 0.831)
Ag (0.000, 0.000, 0.500)
Pt (0.000, 0.500, 0.000)
Pt (0.000, 0.500, 0.335)
Pt (0.000, 0.500, 0.665)
Pt (0.500, 0.000, 0.000)
Pt (0.500, 0.000, 0.335)
Pt (0.500, 0.000, 0.665)
Pt (0.500, 0.500, 0.167)
Pt (0.500, 0.500, 0.500)
Pt (0.500, 0.500, 0.833)

Summary:
Symmetry = No. 123
Energy of formation = -0.226 eV per atom

***

No. 4
A plane-wave DFT calculation with PBE-GGA was carried out for crystalline InAgPt2 at its relaxed geometry.

Lattice parameters (Å, degrees): 9.250 3.047 5.054 90.00 102.35 90.00
Fractional positions:
In (0.000, 0.000, 0.000)
In (0.500, 0.500, 0.000)
Ag (0.000, 0.500, 0.500)
Ag (0.500, 0.000, 0.500)
Pt (0.245, 0.500, 0.250)
Pt (0.255, 0.000, 0.750)
Pt (0.745, 0.000, 0.250)
Pt (0.755, 0.500, 0.750)

Summary:
Symmetry = No. 12
Energy of formation = -0.162 eV per atom

***

| no. | magnetization (μB per atom) |
| --- | --- |
| 1 | 0.00 |
| 2 | 0.00 |
| 3 | 0.00 |
| 4 | 0.00 |